[1]
Here is a geometry-optimized La2Nd2SmY2 structure from Alexandria. Energies are from GGA-PBE.

Computed properties:
Crystal system: monoclinic
ΔE_f (eV per atom): 0.021
DOS(E_F) (states/eV/f.u.): 11.98
E_tot (eV/atom): -5.2697
Theoretical density (g cm⁻³): 6.10

a b c (Å): 11.5894 5.1886 8.1816
angles (deg): 90.00 98.18 90.00
Closest atoms and distances in Å follow each position.
Space group C2/m (No. 12)
Asymmetric unit:
La: 0.1427 0.0000 0.4277 x4  1 Sm 3.65, 5 Nd 3.67-3.69, 3 La 3.67, 3 Y 3.69
Nd: 0.0709 0.5000 0.7183 x4  4 Y 3.61-3.67, 2 Sm 3.64, 5 La 3.67-3.69, 1 Nd 3.71
Sm: 0.0000 0.0000 0.0000 x2  6 Y 3.64-3.67, 4 Nd 3.64, 2 La 3.65
Y: 0.2154 0.5000 0.1389 x4  4 Nd 3.61-3.67, 2 Y 3.61, 3 Sm 3.64-3.67, 3 La 3.69



[2]
Here is a geometry-optimized SrTiBeCo2 structure from Alexandria. Energies are from GGA-PBE.

Computed properties:
Crystal system: tetragonal
ΔE_f (eV per atom): 2.103
DOS(E_F) (states/eV/f.u.): 7.76
E_tot (eV/atom): -3.3995
Theoretical density (g cm⁻³): 4.55

a b c (Å): 4.4903 4.4903 4.7464
angles (deg): 90.00 90.00 90.00
Closest atoms and distances in Å follow each position.
Space group P4/mmm (No. 123)
Asymmetric unit:
Sr: 0.0000 0.0000 0.0000 x1  4 Co 2.25, 2 Be 2.37
Ti: 0.5000 0.5000 0.5000 x1  4 Be 3.18, 8 Co 3.27
Be: 0.0000 0.0000 0.5000 x1  2 Sr 2.37
Co: 0.0000 0.5000 0.0000 x2  2 Sr 2.25



[3]
Here is a geometry-optimized Pa2AlPd structure from Alexandria. Energies are from GGA-PBE.

Computed properties:
Crystal system: trigonal
ΔE_f (eV per atom): 0.120
DOS(E_F) (states/eV/f.u.): 6.69
E_tot (eV/atom): -6.8615
Theoretical density (g cm⁻³): 11.06
Offset from the most stable computed form (eV per formula unit): 1.75

a b c (Å): 3.0654 3.0654 32.9460
angles (deg): 90.00 90.00 120.00
Closest atoms and distances in Å follow each position.
Space group R-3m (No. 166, hexagonal axes)
Asymmetric unit:
Pa: 0.0000 0.0000 0.0913 x6  1 Al 3.01, 3 Pd 3.05, 6 Pa 3.07
Al: 0.0000 0.0000 0.0000 x3  2 Pa 3.01, 6 Al 3.07
Pd: 0.0000 0.0000 0.5000 x3  6 Pa 3.05, 6 Pd 3.07



[4]
Here is a geometry-optimized Ac5Ag4Ru structure from Alexandria. Energies are from GGA-PBE.

Computed properties:
Crystal system: tetragonal
ΔE_f (eV per atom): -0.194
DOS(E_F) (states/eV/f.u.): 7.01
E_tot (eV/atom): -4.3162
Theoretical density (g cm⁻³): 9.28

a b c (Å): 3.8441 3.8441 20.1894
angles (deg): 90.00 90.00 90.00
Closest atoms and distances in Å follow each position.
Space group P4/mmm (No. 123)
Asymmetric unit:
Ac: 0.0000 0.0000 0.0000 x1  8 Ag 3.41
Ac: 0.0000 0.0000 0.2041 x2  8 Ag 3.38-3.41
Ac: 0.0000 0.0000 0.4120 x2  4 Ru 3.25, 4 Ag 3.49, 1 Ac 3.55
Ag: 0.5000 0.5000 0.1020 x2  8 Ac 3.41
Ag: 0.5000 0.5000 0.3038 x2  8 Ac 3.38-3.49
Ru: 0.5000 0.5000 0.5000 x1  8 Ac 3.25



[5]
Here is a geometry-optimized Pa6Cu3S14 structure from Alexandria. Energies are from GGA-PBE.

Computed properties:
Crystal system: trigonal
E_form (uncorrected) (eV per formula unit): -31.5
DOS(E_F) (states/eV/f.u.): 24.18
E_tot (eV/atom): -6.8928
Theoretical density (g cm⁻³): 7.33

a b c (Å): 9.7067 9.7067 5.6233
angles (deg): 90.00 90.00 120.00
Closest atoms and distances in Å follow each position.
Space group P3 (No. 143)
Asymmetric unit:
Pa: 0.0431 0.5622 0.0000 x3  7 S 2.67-2.92
Pa: 0.2961 0.1085 0.5045 x3  7 S 2.68-2.92
Cu: 0.0000 0.0000 0.8830 x1  4 S 2.26-2.27
Cu: 0.3333 0.6667 0.3785 x1  4 S 2.26
Cu: 0.6667 0.3333 0.0287 x1  3 S 2.20
S: 0.0000 0.0000 0.2857 x1  1 Cu 2.26
S: 0.0988 0.8458 0.7507 x3  1 Cu 2.27
S: 0.1779 0.4136 0.2504 x3  1 Cu 2.26
S: 0.3333 0.6667 0.7803 x1  1 Cu 2.26
S: 0.4064 0.1786 0.0132 x3  1 Cu 2.20
S: 0.5161 0.4357 0.5154 x3  3 Pa 2.75-2.92



[6]
Here is a geometry-optimized KMo2Br structure from Alexandria. Energies are from GGA-PBE.

Computed properties:
Crystal system: cubic
E_form (uncorrected) (eV per formula unit): 5.1
DOS(E_F) (states/eV/f.u.): 1.01
E_tot (eV/atom): -4.8241
Theoretical density (g cm⁻³): 5.96
Offset from the most stable computed form (eV per formula unit): 4.14

a b c (Å): 7.0249 7.0249 7.0249
angles (deg): 90.00 90.00 90.00
Closest atoms and distances in Å follow each position.
Space group F-43m (No. 216)
Asymmetric unit:
K: 0.0000 0.0000 0.0000 x4  4 Mo 3.04, 4 Br 3.04
Mo: 0.0000 0.0000 0.5000 x4  4 Mo 3.04, 4 Br 3.04
Mo: 0.2500 0.2500 0.2500 x4  4 Mo 3.04, 4 K 3.04
Br: 0.2500 0.2500 0.7500 x4  4 Mo 3.04, 4 K 3.04



[7]
Here is a geometry-optimized TeBr structure from Alexandria. Energies are from GGA-PBE.

Computed properties:
Crystal system: monoclinic
E_form (uncorrected) (eV per formula unit): -0.1
DOS(E_F) (states/eV/f.u.): 0.72
E_tot (eV/atom): -2.4398
Theoretical density (g cm⁻³): 4.26

a b c (Å): 4.5516 4.5503 8.0837
angles (deg): 90.00 104.95 90.00
Closest atoms and distances in Å follow each position.
Space group P2_1/m (No. 11)
Asymmetric unit:
Te: 0.2388 0.2500 0.4755 x2  1 Br 2.56
Br: 0.3897 0.2500 0.8034 x2  1 Te 2.56



[8]
Here is a geometry-optimized Li2ZrZn3 structure from Alexandria. Energies are from GGA-PBE.

Computed properties:
Crystal system: tetragonal
ΔE_f (eV per atom): -0.180
DOS(E_F) (states/eV/f.u.): 3.61
E_tot (eV/atom): -2.8794
Theoretical density (g cm⁻³): 5.20

a b c (Å): 3.1392 3.1392 9.7663
angles (deg): 90.00 90.00 90.00
Closest atoms and distances in Å follow each position.
Space group P4/mmm (No. 123)
Asymmetric unit:
Li: 0.0000 0.0000 0.1542 x2  8 Zn 2.66-2.68
Zr: 0.0000 0.0000 0.5000 x1  8 Zn 2.93, 4 Zr 3.14
Zn: 0.5000 0.5000 0.0000 x1  8 Li 2.68, 2 Zn 2.97
Zn: 0.5000 0.5000 0.3040 x2  4 Li 2.66, 4 Zr 2.93, 1 Zn 2.97



[9]
Here is a geometry-optimized KAs2Ru structure from Alexandria. Energies are from GGA-PBE.

Computed properties:
Crystal system: tetragonal
ΔE_f (eV per atom): 0.722
DOS(E_F) (states/eV/f.u.): 4.40
E_tot (eV/atom): -4.1961
Theoretical density (g cm⁻³): 6.08
Offset from the most stable computed form (eV per formula unit): 3.71

a b c (Å): 4.1576 4.1576 9.1684
angles (deg): 90.00 90.00 90.00
Closest atoms and distances in Å follow each position.
Space group I-4m2 (No. 119)
Asymmetric unit:
K: 0.0000 0.0000 0.0000 x2  8 As 2.94-3.09, 4 Ru 3.09
As: 0.0000 0.0000 0.5000 x2  4 K 2.94, 4 As 3.09, 4 Ru 3.09
As: 0.0000 0.5000 0.2500 x2  4 Ru 2.94, 4 K 3.09, 4 As 3.09
Ru: 0.0000 0.5000 0.7500 x2  8 As 2.94-3.09, 4 K 3.09



[10]
Here is a geometry-optimized FeCoOs2 structure from Alexandria. Energies are from GGA-PBE.

Computed properties:
Crystal system: orthorhombic
ΔE_f (eV per atom): 0.240
DOS(E_F) (states/eV/f.u.): 3.97
E_tot (eV/atom): -9.2670
Theoretical density (g cm⁻³): 16.00
Offset from the most stable computed form (eV per formula unit): 0.53

a b c (Å): 2.9144 4.2076 8.3811
angles (deg): 90.00 90.00 90.00
Closest atoms and distances in Å follow each position.
Space group Imm2 (No. 44)
Asymmetric unit:
Fe: 0.0000 0.0000 0.0000 x2  2 Co 2.35, 6 Os 2.54-2.56
Co: 0.0000 0.5000 0.2803 x2  2 Fe 2.35, 6 Os 2.57-2.63
Os: 0.0000 0.0000 0.5192 x2  4 Fe 2.56, 2 Co 2.63, 4 Os 2.69-2.85
Os: 0.0000 0.5000 0.7489 x2  2 Fe 2.54, 4 Co 2.57, 2 Os 2.69



[11]
Here is a geometry-optimized ZnAgF6 structure from Alexandria. Energies are from GGA-PBE.

Computed properties:
Crystal system: triclinic
E_form (uncorrected) (eV per formula unit): -10.9
DOS(E_F) (states/eV/f.u.): 3.08
E_tot (eV/atom): -3.2822
Theoretical density (g cm⁻³): 4.33
Offset from the most stable computed form (eV per formula unit): 0.00

a b c (Å): 5.2141 5.2153 5.5494
angles (deg): 62.23 62.09 60.22
Closest atoms and distances in Å follow each position.
Space group P-1 (No. 2)
Asymmetric unit:
Zn: 0.0000 0.0000 0.0000 x1  6 F 1.99-2.01
Ag: 0.5000 0.5000 0.5000 x1  6 F 2.03-2.05
F: 0.1199 0.3763 0.7531 x2  1 Zn 2.01, 1 Ag 2.03
F: 0.2479 0.8825 0.2444 x2  1 Zn 1.99, 1 Ag 2.05
F: 0.3774 0.7494 0.7540 x2  1 Zn 2.01, 1 Ag 2.03



[12]
Here is a geometry-optimized SrMgTeO6 structure from Alexandria. Energies are from GGA-PBE.

Computed properties:
Crystal system: trigonal
E_form (uncorrected) (eV per formula unit): -14.4
DOS(E_F) (states/eV/f.u.): 5.57
E_tot (eV/atom): -5.6223
Theoretical density (g cm⁻³): 4.13

a b c (Å): 5.4101 5.4101 10.6537
angles (deg): 90.00 90.00 120.00
Closest atoms and distances in Å follow each position.
Space group P-31c (No. 163)
Asymmetric unit:
Sr: 0.0000 0.0000 0.0000 x2  6 O 2.54
Mg: 0.3333 0.6667 0.2500 x2  6 O 2.12
Te: 0.3333 0.6667 0.7500 x2  6 O 1.94
O: 0.0257 0.3796 0.6489 x12  1 Te 1.94, 1 Mg 2.12